Entry 1:
The following is a PBE calculation of Li3PtPb after structural relaxation, from Alexandria.

Calculated values
Energy of formation (eV per atom): -0.1443
SG: Pm-3m (221)
Magnetic moment (μB/atom): 0.0000
E (eV per atom): -3.24

The structure in POSCAR format:
```
Li3PtPb
1.0
4.710 0.000 0.000
0.000 4.710 0.000
0.000 0.000 4.710
Li Pt Pb
3 1 1
Cartesian
2.355 0.000 0.000
0.000 0.000 2.355
0.000 2.355 0.000
0.000 0.000 0.000
2.355 2.355 2.355
```

***

Entry 2:
The following is a PBE calculation of Li3PtPb after structural relaxation, from Alexandria.

Calculated values
Energy of formation (eV per atom): -0.3676
SG: P2_1/m (11)
Magnetic moment (μB/atom): 0.0000
E (eV per atom): -3.47

The structure in POSCAR format:
```
Li3PtPb
1.0
-4.014 -0.151 -2.958
2.295 -3.673 -2.926
-4.557 -4.853 2.517
Pb Pt Li
2 2 6
Cartesian
-3.899 -4.415 0.150
-2.377 -4.261 -3.518
-2.704 -2.399 -1.443
-3.572 -6.277 -1.924
-0.161 -2.326 -1.943
-5.191 -3.338 -2.215
-7.229 -4.567 -0.004
-1.085 -5.338 -1.153
-6.115 -6.350 -1.425
0.953 -4.109 -3.363
```

***

Entry 3:
The following is a PBE calculation of Li2PtPb2 after structural relaxation, from Alexandria.

Calculated values
Energy of formation (eV per atom): -0.0361
SG: I4/mmm (139)
Magnetic moment (μB/atom): 0.0000
E (eV per atom): -3.49

The structure in POSCAR format:
```
Li2PtPb2
1.0
3.614 0.000 0.000
0.000 3.614 0.000
1.807 1.807 7.945
Pt Pb Li
1 2 2
Cartesian
0.000 0.000 0.000
3.614 3.614 6.342
1.807 1.807 1.603
1.807 3.614 3.972
3.614 1.807 3.972
```

***

Entry 4:
The following is a PBE calculation of LiPtPb2 after structural relaxation, from Alexandria.

Calculated values
Energy of formation (eV per atom): -0.1933
SG: P4/mmm (123)
Magnetic moment (μB/atom): 0.0000
E (eV per atom): -4.04

The structure in POSCAR format:
```
LiPtPb2
1.0
-2.738 -2.103 0.684
1.811 -2.757 -1.225
2.581 -1.224 6.568
Pb Li Pt
2 1 1
Cartesian
1.239 -0.588 3.153
0.052 -0.024 0.131
1.472 -3.348 4.655
0.182 -2.736 1.371
```

***

Entry 5:
The following is a PBE calculation of LiPtPb2 after structural relaxation, from Alexandria.

Calculated values
Energy of formation (eV per atom): -0.2338
SG: Pm (6)
Magnetic moment (μB/atom): 0.0000
E (eV per atom): -4.08

The structure in POSCAR format:
```
LiPtPb2
1.0
4.309 0.000 0.000
0.000 3.891 0.022
0.000 1.976 5.233
Pt Pb Li
1 2 1
Cartesian
0.000 3.667 2.580
0.000 5.605 4.753
2.155 1.729 1.754
2.155 3.665 4.049
```

***

Entry 6:
The following is a PBE calculation of Li2PtPb2 after structural relaxation, from Alexandria.

Calculated values
Energy of formation (eV per atom): -0.2033
SG: P4/mbm (127)
Magnetic moment (μB/atom): 0.0000
E (eV per atom): -3.66

The structure in POSCAR format:
```
Li2PtPb2
1.0
-3.713 5.652 0.074
-3.702 -2.365 -5.143
-2.701 -1.811 2.777
Li Pt Pb
4 2 4
Cartesian
-4.507 -0.005 -4.387
-5.562 3.333 -3.237
-2.908 3.292 -0.682
-1.853 -0.046 -1.832
-3.707 1.644 -2.534
0.000 0.000 0.000
-4.496 -1.514 -2.068
-5.620 2.991 -0.224
-6.911 0.956 -2.807
-3.205 0.521 0.515
```

***

Entry 7:
The following is a PBE calculation of LiPtPb2 after structural relaxation, from Alexandria.

Calculated values
Energy of formation (eV per atom): -0.1854
SG: C2/m (12)
Magnetic moment (μB/atom): 0.0000
E (eV per atom): -4.03

The structure in POSCAR format:
```
LiPtPb2
1.0
-1.235 -4.585 -0.679
2.354 -4.177 0.138
-1.000 -1.800 5.291
Pb Li Pt
2 1 1
Cartesian
0.028 -5.189 2.469
-0.968 -1.892 5.196
0.030 -2.641 1.187
0.089 -7.922 3.562
```

***

Entry 8:
The following is a PBE calculation of Li2PtPb after structural relaxation, from Alexandria.

Calculated values
Energy of formation (eV per atom): -0.3883
SG: Pmmm (47)
Magnetic moment (μB/atom): 0.0000
E (eV per atom): -3.78

The structure in POSCAR format:
```
Li2PtPb
1.0
-1.823 0.238 -2.956
-2.757 -0.006 1.699
-2.552 5.980 2.054
Pt Li Pb
1 2 1
Cartesian
-4.892 4.599 1.336
-2.646 3.270 1.894
-2.560 5.697 2.036
-2.238 1.612 -0.540
```

***

Entry 9:
The following is a PBE calculation of Li2PtPb2 after structural relaxation, from Alexandria.

Calculated values
Energy of formation (eV per atom): -0.1868
SG: P4/mbm (127)
Magnetic moment (μB/atom): 0.0000
E (eV per atom): -3.64

The structure in POSCAR format:
```
Li2PtPb2
1.0
7.273 0.000 0.000
0.000 7.273 0.000
0.000 0.000 4.046
Pt Pb Li
2 4 4
Cartesian
3.636 3.636 0.000
0.000 0.000 0.000
1.094 2.543 0.000
6.179 4.730 0.000
2.543 6.179 0.000
4.730 1.094 0.000
1.141 4.777 2.023
4.777 6.132 2.023
6.132 2.496 2.023
2.496 1.141 2.023
```

***

Entry 10:
The following is a PBE calculation of Li2PtPb after structural relaxation, from Alexandria.

Calculated values
Energy of formation (eV per atom): -0.0570
SG: Immm (71)
Magnetic moment (μB/atom): 0.0000
E (eV per atom): -3.45

The structure in POSCAR format:
```
Li2PtPb
1.0
5.247 -2.109 2.144
-2.502 5.071 -2.144
0.502 -3.218 5.095
Li Pb Pt
2 1 1
Cartesian
1.320 -1.223 1.662
4.430 -4.104 5.578
2.875 -2.663 3.620
0.000 0.000 0.000
```

***

Entry 11:
The following is a PBE calculation of LiPt2Pb after structural relaxation, from Alexandria.

Calculated values
Energy of formation (eV per atom): -0.2542
SG: P4/mmm (123)
Magnetic moment (μB/atom): 0.0000
E (eV per atom): -4.68

The structure in POSCAR format:
```
LiPt2Pb
1.0
3.474 0.007 0.000
-0.009 3.474 0.000
0.000 0.000 5.810
Pb Pt Li
1 2 1
Cartesian
1.732 1.741 4.357
0.000 0.000 0.110
0.000 0.000 2.795
1.732 1.741 1.452
```

***

Entry 12:
The following is a PBE calculation of Li2PtPb after structural relaxation, from Alexandria.

Calculated values
Energy of formation (eV per atom): -0.2068
SG: I-42d (122)
Magnetic moment (μB/atom): 0.0000
E (eV per atom): -3.60

The structure in POSCAR format:
```
Li2PtPb
1.0
4.066 0.000 0.000
0.000 4.066 0.000
2.033 2.033 9.520
Pt Li Pb
2 4 2
Cartesian
2.033 2.033 0.000
2.033 4.066 4.760
3.049 3.194 7.140
2.904 1.016 2.380
5.082 4.937 7.140
1.161 3.049 2.380
0.000 0.000 0.000
4.066 2.033 4.760
```